# 1
{
  "formula": "Li2V6O15",
  "functional": "GGA-PBEsol",
  "state": "relaxed",
  "lattice_angstrom": [[3.560, 0.000, 0.000], [-1.780, 7.744, 0.003], [0.000, -3.983, 9.266]],
  "species": ["Li", "Li", "V", "V", "V", "V", "V", "V", "O", "O", "O", "O", "O", "O", "O", "O", "O", "O", "O", "O", "O", "O", "O"],
  "frac_coords": [[0.977, 0.955, 0.653], [0.023, 0.045, 0.347], [0.341, 0.683, 0.113], [0.659, 0.317, 0.887], [0.879, 0.757, 0.888], [0.121, 0.243, 0.112], [0.710, 0.420, 0.583], [0.290, 0.580, 0.417], [0.000, 0.000, 0.000], [0.817, 0.634, 0.062], [0.183, 0.366, 0.938], [0.635, 0.271, 0.067], [0.365, 0.729, 0.933], [0.446, 0.893, 0.240], [0.554, 0.107, 0.760], [0.757, 0.514, 0.424], [0.243, 0.486, 0.576], [0.270, 0.541, 0.227], [0.730, 0.459, 0.773], [0.596, 0.193, 0.504], [0.404, 0.807, 0.496], [0.118, 0.236, 0.272], [0.882, 0.764, 0.728]],
  "spacegroup": "C2/m (12)",
  "e_form_raw_mev_per_atom": -2341
}


# 2
{
  "formula": "La2SbSe",
  "functional": "GGA-PBEsol",
  "state": "relaxed",
  "lattice_angstrom": [[-0.048, 4.362, -0.730], [-0.911, 0.705, 4.270], [6.110, 0.278, 1.258]],
  "species": ["Sb", "Se", "La", "La"],
  "frac_coords": [[0.000, 0.000, 0.000], [0.500, 0.500, 0.500], [0.500, 0.500, 0.000], [0.000, 0.000, 0.500]],
  "spacegroup": "P4/mmm (123)",
  "e_form_raw_mev_per_atom": -1626
}


# 3
{
  "formula": "LiAl",
  "functional": "GGA-PBEsol",
  "state": "relaxed",
  "lattice_angstrom": [[-1.280, -0.677, -2.424], [3.392, -4.184, 1.022], [-5.456, -1.659, 3.343]],
  "species": ["Al", "Al", "Al", "Li", "Li", "Li"],
  "frac_coords": [[0.994, 0.988, 0.996], [0.334, 0.668, 0.666], [0.391, 0.783, 0.282], [0.667, 0.335, 0.325], [0.057, 0.113, 0.612], [0.723, 0.446, 0.952]],
  "spacegroup": "Cm (8)"
}


Let's list calculated total energy in order: -8.4491, -6.4009, -3.1389 eV/atom.